Entry 1:
Crystalline Nd3Mg3Ag2Au at its relaxed geometry, computed with PBE.

Total magnetization (μB/cell): 0.0
E_tot (eV per atom): -3.487
Mass density (kg/m3): 6786

a = 7.7455 Å, b = 7.7455 Å, c = 4.3255 Å
α = 90.00°, β = 90.00°, γ = 120.00°
With the nearest neighbours (Å) after each atom.
Positions (direct):
Mg 0.2376 0.2376 0.5000  2 Au 2.84, 2 Ag 3.02
Mg 0.7624 0.0000 0.5000  2 Au 2.84, 2 Ag 3.02
Mg 0.0000 0.7624 0.5000  2 Au 2.84, 2 Ag 3.02
Ag 0.6667 0.3333 0.5000  3 Mg 3.02, 6 Nd 3.19
Ag 0.3333 0.6667 0.5000  3 Mg 3.02, 6 Nd 3.19
Nd 0.4116 0.0000 0.0000  4 Ag 3.19, 1 Au 3.19, 6 Mg 3.47-3.52
Nd 0.5884 0.5884 0.0000  4 Ag 3.19, 1 Au 3.19, 6 Mg 3.47-3.52
Nd 0.0000 0.4116 0.0000  4 Ag 3.19, 1 Au 3.19, 6 Mg 3.47-3.52
Au 0.0000 0.0000 0.0000  6 Mg 2.84



Entry 2:
Crystalline Ba2Fe3 at its relaxed geometry, computed with PBE.

Total magnetization (μB/cell): 16.0
E_tot (eV per atom): -4.918
Mass density (kg/m3): 4705

a = 7.4365 Å, b = 7.4365 Å, c = 7.8043 Å
α = 118.45°, β = 61.55°, γ = 120.00°
With the nearest neighbours (Å) after each atom.
Positions (direct):
Fe 0.9230 0.4230 0.7500  2 Fe 2.23
Fe 0.5770 0.2500 0.7500  2 Fe 2.23
Fe 0.0770 0.5770 0.2500  2 Fe 2.23
Fe 0.2500 0.9230 0.2500  2 Fe 2.23
Fe 0.4230 0.7500 0.2500  2 Fe 2.23
Fe 0.7500 0.0770 0.7500  2 Fe 2.23
Ba 0.0962 0.9038 0.7114  6 Fe 3.25-3.27
Ba 0.4038 0.5962 0.7886  6 Fe 3.25-3.27
Ba 0.5962 0.4038 0.2114  6 Fe 3.25-3.27
Ba 0.9038 0.0962 0.2886  6 Fe 3.25-3.27



Entry 3:
Crystalline Nb2Ir at its relaxed geometry, computed with PBE.

Total magnetization (μB/cell): 0.0
E_tot (eV per atom): -9.553
Mass density (kg/m3): 12211

a = 5.2585 Å, b = 5.2585 Å, c = 5.2585 Å
α = 60.00°, β = 60.00°, γ = 60.00°
With the nearest neighbours (Å) after each atom.
Positions (direct):
Ir 0.2500 0.2500 0.2500  12 Nb 3.08, 4 Ir 3.22
Ir 0.0000 0.0000 0.0000  12 Nb 3.08, 4 Ir 3.22
Nb 0.1250 0.6250 0.6250  6 Nb 2.63
Nb 0.6250 0.6250 0.1250  6 Nb 2.63
Nb 0.6250 0.1250 0.6250  6 Nb 2.63
Nb 0.6250 0.6250 0.6250  6 Nb 2.63



Entry 4:
Crystalline ZnCuSnIr at its relaxed geometry, computed with PBE.

Total magnetization (μB/cell): 0.0
E above lowest polymorph (meV per atom): 0
Mass density (kg/m3): 11723

a = 4.4499 Å, b = 4.4499 Å, c = 4.4499 Å
α = 60.00°, β = 60.00°, γ = 60.00°
With the nearest neighbours (Å) after each atom.
Positions (direct):
Ir 0.2500 0.2500 0.2500  4 Zn 2.72-2.73, 4 Sn 2.73
Zn 0.5000 0.5000 0.5000  4 Ir 2.72-2.73, 4 Cu 2.73
Sn 0.0000 0.0000 0.0000  4 Cu 2.72-2.73, 4 Ir 2.73
Cu 0.7500 0.7500 0.7500  4 Sn 2.72-2.73, 4 Zn 2.73



Entry 5:
Crystalline BaLuGa at its relaxed geometry, computed with PBE.

Total magnetization (μB/cell): 0.0
E above lowest polymorph (meV per atom): 0
Mass density (kg/m3): 6529

a = 5.1602 Å, b = 5.1602 Å, c = 5.1602 Å
α = 60.00°, β = 60.00°, γ = 60.00°
With the nearest neighbours (Å) after each atom.
Positions (direct):
Ga 0.7500 0.7500 0.7500  4 Lu 3.16
Ba 0.2500 0.2500 0.2500  4 Lu 3.16
Lu 0.0000 0.0000 0.0000  4 Ga 3.16, 4 Ba 3.16



Entry 6:
Crystalline ScCoSiNi at its relaxed geometry, computed with PBE.

Total magnetization (μB/cell): 1.4
E above lowest polymorph (meV per atom): 354
Mass density (kg/m3): 5962

a = 4.2190 Å, b = 4.2190 Å, c = 4.2190 Å
α = 60.00°, β = 60.00°, γ = 60.00°
With the nearest neighbours (Å) after each atom.
Positions (direct):
Sc 0.5000 0.5000 0.5000  4 Co 2.58, 4 Si 2.58
Ni 0.0000 0.0000 0.0000  4 Si 2.58, 4 Co 2.58
Si 0.2500 0.2500 0.2500  4 Ni 2.58, 4 Sc 2.58
Co 0.7500 0.7500 0.7500  4 Sc 2.58, 4 Ni 2.58



Entry 7:
Crystalline ScAgSO at its relaxed geometry, computed with PBE.

Total magnetization (μB/cell): 0.0
E above lowest polymorph (meV per atom): 70
Mass density (kg/m3): 5321

a = 5.3044 Å, b = 5.3043 Å, c = 8.9125 Å
α = 90.00°, β = 90.00°, γ = 90.00°
With the nearest neighbours (Å) after each atom.
Positions (direct):
Ag 0.5000 0.5000 0.5000  4 Ag 2.65, 4 S 2.70
Ag 0.0000 0.5000 0.5000  4 Ag 2.65, 4 S 2.70
Ag 0.5000 0.0000 0.5000  4 Ag 2.65, 4 S 2.70
Ag 0.0000 0.0000 0.5000  4 Ag 2.65, 4 S 2.70
O 0.5000 0.5000 0.0000  4 Sc 2.12
O 0.0000 0.0000 0.0000  4 Sc 2.12
O 0.5000 0.0000 0.0000  4 Sc 2.12
O 0.0000 0.5000 0.0000  4 Sc 2.12
Sc 0.2500 0.7500 0.8898  4 O 2.12
Sc 0.2500 0.2500 0.1102  4 O 2.12
Sc 0.7500 0.2500 0.8898  4 O 2.12
Sc 0.7500 0.7500 0.1102  4 O 2.12
S 0.7500 0.7499 0.7178  4 Ag 2.70
S 0.2500 0.7499 0.2822  4 Ag 2.70
S 0.2500 0.2501 0.7178  4 Ag 2.70
S 0.7500 0.2501 0.2822  4 Ag 2.70



Entry 8:
Crystalline YCuSiOs at its relaxed geometry, computed with PBE.

Total magnetization (μB/cell): 0.0
E above lowest polymorph (meV per atom): 361
Mass density (kg/m3): 9130

a = 4.5688 Å, b = 4.5688 Å, c = 4.5688 Å
α = 60.00°, β = 60.00°, γ = 60.00°
With the nearest neighbours (Å) after each atom.
Positions (direct):
Y 0.2500 0.2500 0.2500  4 Os 2.80, 4 Si 2.80
Si 0.0000 0.0000 0.0000  4 Cu 2.80, 4 Y 2.80
Os 0.5000 0.5000 0.5000  4 Cu 2.80, 4 Y 2.80
Cu 0.7500 0.7500 0.7500  4 Os 2.80, 4 Si 2.80



Entry 9:
Crystalline HoCuSb at its relaxed geometry, computed with PBE.

Total magnetization (μB/cell): 0.0
E_tot (eV per atom): -4.700
Mass density (kg/m3): 8757

a = 4.5455 Å, b = 4.5455 Å, c = 4.5455 Å
α = 60.00°, β = 60.00°, γ = 60.00°
With the nearest neighbours (Å) after each atom.
Positions (direct):
Cu 0.0000 0.0000 0.0000  4 Sb 2.78, 4 Ho 2.78
Sb 0.7500 0.7500 0.7500  4 Cu 2.78
Ho 0.2500 0.2500 0.2500  4 Cu 2.78



Entry 10:
Crystalline YZrGaCo at its relaxed geometry, computed with PBE.

Total magnetization (μB/cell): 1.0
E above lowest polymorph (meV per atom): 0
Mass density (kg/m3): 7018

a = 4.6924 Å, b = 4.6924 Å, c = 4.6924 Å
α = 60.00°, β = 60.00°, γ = 60.00°
With the nearest neighbours (Å) after each atom.
Positions (direct):
Co 0.7500 0.7500 0.7500  4 Ga 2.87, 4 Zr 2.87
Y 0.2500 0.2500 0.2500  4 Zr 2.87, 4 Ga 2.87
Ga 0.0000 0.0000 0.0000  4 Co 2.87, 4 Y 2.87
Zr 0.5000 0.5000 0.5000  4 Y 2.87, 4 Co 2.87



Entry 11:
Crystalline Dy2Cl at its relaxed geometry, computed with PBE.

Total magnetization (μB/cell): 0.0
E above lowest polymorph (meV per atom): 0
Mass density (kg/m3): 6056

a = 6.5387 Å, b = 6.5387 Å, c = 6.5387 Å
α = 60.00°, β = 60.00°, γ = 60.00°
With the nearest neighbours (Å) after each atom.
Positions (direct):
Dy 0.6250 0.1250 0.6250  6 Dy 3.27
Dy 0.6250 0.6250 0.6250  6 Dy 3.27
Dy 0.1250 0.6250 0.6250  6 Dy 3.27
Dy 0.6250 0.6250 0.1250  6 Dy 3.27
Cl 0.2500 0.2500 0.2500  12 Dy 3.83, 4 Cl 4.00
Cl 0.0000 0.0000 0.0000  12 Dy 3.83, 4 Cl 4.00



Entry 12:
Crystalline PrGdTeO2 at its relaxed geometry, computed with PBE.

Total magnetization (μB/cell): 0.0
E_tot (eV per atom): -7.398
Mass density (kg/m3): 7398

a = 6.9820 Å, b = 6.9820 Å, c = 6.9820 Å
α = 146.59°, β = 146.59°, γ = 47.96°
With the nearest neighbours (Å) after each atom.
Positions (direct):
O 0.2461 0.7461 0.5000  2 Gd 2.27, 2 Pr 2.36
O 0.7461 0.2461 0.5000  2 Gd 2.27, 2 Pr 2.36
Pr 0.3432 0.3432 0.0000  4 O 2.36
Te 0.0018 0.0018 0.0000  4 Pr 3.48, 4 Gd 3.50, 8 O 3.71-3.83
Gd 0.6627 0.6627 0.0000  4 O 2.27